Computed, not measured: an optimized crystal structure of SnIrOs2 at the PBE level of DFT.

Properties
- V (Å³/atom) = 16.1
- total DFT energy (no corrections) (eV per atom) = -8.1374

Cell lengths 4.503, 4.503, 4.503 Å; angles 60.00, 60.00, 60.00 degrees
Element x y z (fractional)
1 Sn 0.000 0.000 0.000
2 Ir 0.250 0.250 0.250
3 Os 0.500 0.500 0.500
4 Os 0.750 0.750 0.750